# Li4HoCd8 | the Alexandria database | PBE | optimized geometry
# Total energy, eV/atom: -1.73
data_Li4HoCd8
_chemical_formula_sum 'Li8 Ho2 Cd16'
_space_group_name_H-M_alt 'I 4/m m m'
_space_group_IT_number 139
_space_group_name_Hall '-I 4 2'
_cell_length_a 9.9501
_cell_length_b 9.9501
_cell_length_c 5.2680
_cell_angle_alpha 90.00
_cell_angle_beta 90.00
_cell_angle_gamma 90.00
loop_
_atom_site_label
_atom_site_type_symbol
_atom_site_fract_x
_atom_site_fract_y
_atom_site_fract_z
Li1 Li 0.2500 0.2500 0.2500
Ho1 Ho 0.0000 0.0000 0.0000
Cd1 Cd 0.0000 0.2111 0.5000
Cd2 Cd 0.0000 0.3480 0.0000


# KInGa2 | the Alexandria database | PBE | optimized geometry
# Total energy, eV/atom: -2.58
data_KInGa2
_chemical_formula_sum 'K2 In2 Ga4'
_space_group_name_H-M_alt 'P 1 21/m 1'
_space_group_IT_number 11
_cell_length_a 4.3823
_cell_length_b 4.8358
_cell_length_c 10.4196
_cell_angle_alpha 90.00
_cell_angle_beta 102.05
_cell_angle_gamma 90.00
loop_
_space_group_symop_operation_xyz
'x,y,z'
'-x,-y,-z'
'-x,y+1/2,-z'
'x,-y+1/2,z'
loop_
_atom_site_label
_atom_site_type_symbol
_atom_site_fract_x
_atom_site_fract_y
_atom_site_fract_z
K1 K 0.1165 0.2500 0.2304
In1 In 0.4577 0.2500 0.9226
Ga1 Ga 0.2527 0.7500 0.5040
Ga2 Ga 0.3210 0.2500 0.6438


Ordered DFT formation energy results: -0.2249; -0.1038; unit eV/atom.